1.
Below is EuZn4Ni after structural relaxation, with properties calculated at the PBE level.

Results
The value obtained for the total energy is -3.651 eV per atom. As for the space group: F-43m.

abc: 5.232 5.232 5.232
angles: 60.00 60.00 60.00
Positions (direct):
Eu 0.000 0.000 0.000
Zn 0.377 0.377 0.377
Zn 0.377 0.377 0.870
Zn 0.377 0.870 0.377
Zn 0.870 0.377 0.377
Ni 0.750 0.750 0.750

---

2.
Below is ZrPaTcW after structural relaxation, with properties calculated at the PBE level.

Results
The value obtained for the total energy is -10.384 eV per atom. As for the space group: F-43m.

abc: 6.773 6.773 6.773
angles: 90.00 90.00 90.00
Positions (direct):
Zr 0.000 0.000 0.000
Zr 0.000 0.500 0.500
Zr 0.500 0.000 0.500
Zr 0.500 0.500 0.000
Pa 0.000 0.000 0.500
Pa 0.000 0.500 0.000
Pa 0.500 0.000 0.000
Pa 0.500 0.500 0.500
Tc 0.250 0.250 0.250
Tc 0.250 0.750 0.750
Tc 0.750 0.250 0.750
Tc 0.750 0.750 0.250
W 0.250 0.250 0.750
W 0.250 0.750 0.250
W 0.750 0.250 0.250
W 0.750 0.750 0.750

---

no.,formation energy from the elements (meV/atom)
1,-126
2,-43